The following is a PBEsol calculation of an optimized crystal structure of YNiGe, from Alexandria.

a = 6.835 Å, b = 4.180 Å, c = 7.186 Å
α = 90.00°, β = 90.00°, γ = 90.00°
Positions (direct):
Y  0.008  0.250  0.205
Y  0.492  0.750  0.705
Y  0.508  0.250  0.295
Y  0.992  0.750  0.795
Ni  0.191  0.750  0.418
Ni  0.309  0.250  0.918
Ni  0.691  0.750  0.082
Ni  0.809  0.250  0.582
Ge  0.195  0.250  0.589
Ge  0.305  0.750  0.089
Ge  0.695  0.250  0.911
Ge  0.805  0.750  0.411

Computed properties:
energy of formation: -0.859 eV per atom
electronic total energy: -81.98 eV/cell
DOS(E_F): 7.44 states/eV/cell

---

The following is a PBEsol calculation of an optimized crystal structure of ZnNi2Ge, from Alexandria.

a = 4.046 Å, b = 4.046 Å, c = 4.046 Å
α = 60.00°, β = 60.00°, γ = 60.00°
Positions (direct):
Zn  0.000  0.000  0.000
Ni  0.250  0.250  0.250
Ni  0.750  0.750  0.750
Ge  0.500  0.500  0.500

Computed properties:
energy of formation: -0.280 eV per atom
electronic total energy: -19.96 eV/cell
DOS(E_F): 2.11 states/eV/cell

---

The following is a PBEsol calculation of an optimized crystal structure of ZrNiGe, from Alexandria.

a = 6.501 Å, b = 3.850 Å, c = 7.293 Å
α = 90.00°, β = 90.00°, γ = 90.00°
Positions (direct):
Zr  0.018  0.250  0.190
Zr  0.482  0.750  0.690
Zr  0.518  0.250  0.310
Zr  0.982  0.750  0.810
Ni  0.141  0.250  0.562
Ni  0.359  0.750  0.062
Ni  0.641  0.250  0.938
Ni  0.859  0.750  0.438
Ge  0.232  0.750  0.386
Ge  0.268  0.250  0.886
Ge  0.732  0.750  0.114
Ge  0.768  0.250  0.614

Computed properties:
energy of formation: -0.858 eV per atom
electronic total energy: -91.04 eV/cell
DOS(E_F): 2.83 states/eV/cell

---

The following is a PBEsol calculation of an optimized crystal structure of NpGe2Pd2, from Alexandria.

a = 5.982 Å, b = 5.982 Å, c = 5.982 Å
α = 139.91°, β = 139.91°, γ = 57.98°
Positions (direct):
Np  0.000  0.000  0.000
Ge  0.385  0.385  0.000
Ge  0.615  0.615  0.000
Pd  0.250  0.750  0.500
Pd  0.750  0.250  0.500

Computed properties:
energy of formation: -0.367 eV per atom
electronic total energy: -37.48 eV/cell
DOS(E_F): 11.95 states/eV/cell

---

The following is a PBEsol calculation of an optimized crystal structure of GeP2OsO, from Alexandria.

a = 4.750 Å, b = 4.750 Å, c = 3.645 Å
α = 90.00°, β = 90.00°, γ = 90.00°
Positions (direct):
Ge  0.000  0.000  0.000
P  0.000  0.500  0.500
P  0.500  0.000  0.500
Os  0.500  0.500  0.500
O  0.500  0.500  0.000

Computed properties:
electronic total energy: -33.19 eV/cell
ΔE_f (raw): 0.1588 eV per atom
DOS(E_F): 3.45 states/eV/cell

---

The following is a PBEsol calculation of an optimized crystal structure of GeSb2OsO, from Alexandria.

a = 5.350 Å, b = 5.350 Å, c = 3.628 Å
α = 90.00°, β = 90.00°, γ = 90.00°
Positions (direct):
Ge  0.000  0.000  0.000
Sb  0.000  0.500  0.500
Sb  0.500  0.000  0.500
Os  0.500  0.500  0.500
O  0.500  0.500  0.000

Computed properties:
electronic total energy: -31.38 eV/cell
ΔE_f (raw): 0.0281 eV per atom
DOS(E_F): 3.15 states/eV/cell

---

What did the fourth record say?
The following is a PBEsol calculation of an optimized crystal structure of NpGe2Pd2, from Alexandria.

a = 5.982 Å, b = 5.982 Å, c = 5.982 Å
α = 139.91°, β = 139.91°, γ = 57.98°
Positions (direct):
Np  0.000  0.000  0.000
Ge  0.385  0.385  0.000
Ge  0.615  0.615  0.000
Pd  0.250  0.750  0.500
Pd  0.750  0.250  0.500

Computed properties:
energy of formation: -0.367 eV per atom
electronic total energy: -37.48 eV/cell
DOS(E_F): 11.95 states/eV/cell

---

The lowest DOS(E_F) belongs to which entry?
ZnNi2Ge

---

What is the electronic total energy in the second record?
-19.96 eV/cell